Entry from the Alexandria database: a relaxed structure of KSnAu3 (PBE-GGA).

DOS(E_F)	8.7	states/eV/cell
total magnetic moment	0.000	μB per formula unit
raw total energy	-3.19	eV per atom
formation energy from the elements	-203	meV/atom

a = 9.4425 Å, b = 6.2770 Å, c = 9.0299 Å
α = 90.00°, β = 105.88°, γ = 90.00°
Last column: nearest neighbours and their distance in Å.
Space group P2_1/c (No. 14)
One atom of each set of equivalent atoms:
K: 0.1190 0.0855 0.2057  11 Au 3.34-3.72
Sn: 0.4364 0.6985 0.1495  6 Au 2.80-3.05
Au: 0.1372 0.5752 0.0628  2 Au 2.70-2.84, 1 Sn 2.83
Au: 0.2679 0.5954 0.3851  2 Sn 2.80-3.05, 3 Au 2.80-3.08
Au: 0.3847 0.2302 0.5523  3 Sn 2.80-2.83, 2 Au 2.80-3.04

Entry from the Alexandria database: a relaxed structure of CsLi2OsCl8 (PBE-GGA).

total magnetic moment	2.990	μB per formula unit
raw total energy	-3.69	eV per atom

a = 6.2345 Å, b = 7.0152 Å, c = 8.4443 Å
α = 75.58°, β = 84.99°, γ = 85.49°
Last column: nearest neighbours and their distance in Å.
Space group P-1 (No. 2)
One atom of each set of equivalent atoms:
Cs: 0.0000 0.0000 0.0000  10 Cl 3.62-3.97
Li: 0.4857 0.4901 0.8307  4 Cl 2.30-2.54
Os: 0.0000 0.5000 0.5000  6 Cl 2.30-2.34
Cl: 0.0973 0.5326 0.7534  1 Os 2.34, 1 Li 2.54
Cl: 0.1990 0.2050 0.5325  1 Os 2.30
Cl: 0.2981 0.6702 0.3676  1 Os 2.33, 1 Li 2.49
Cl: 0.4769 0.2390 0.0686  2 Li 2.30-2.32

Entry from the Alexandria database: a relaxed structure of Al4FeW (PBE-GGA).

DOS(E_F)	16.3	states/eV/cell
total magnetic moment	3.882	μB per formula unit
raw total energy	-5.85	eV per atom
formation energy from the elements	211	meV/atom

a = 7.1044 Å, b = 7.1044 Å, c = 7.1044 Å
α = 90.00°, β = 90.00°, γ = 90.00°
Last column: nearest neighbours and their distance in Å.
Space group F-43m (No. 216)
One atom of each set of equivalent atoms:
Al: 0.1247 0.1247 0.1247  6 Al 2.51-2.52
Fe: 0.2500 0.2500 0.7500  12 Al 2.94, 4 W 3.08
W: 0.0000 0.0000 0.5000  12 Al 2.95, 4 Fe 3.08

Entry from the Alexandria database: a relaxed structure of CaPm2Zn2In2 (PBE-GGA).

DOS(E_F)	8.6	states/eV/cell
total magnetic moment	0.000	μB per formula unit
raw total energy	-3.09	eV per atom
formation energy from the elements	-297	meV/atom

a = 4.7612 Å, b = 4.7612 Å, c = 28.6605 Å
α = 90.00°, β = 90.00°, γ = 120.00°
Last column: nearest neighbours and their distance in Å.
Space group R-3m (No. 166, hexagonal axes)
One atom of each set of equivalent atoms:
Ca: 0.0000 0.0000 0.0000  6 In 3.45, 6 Zn 3.47, 2 Pm 3.67
Pm: 0.0000 0.0000 0.1280  3 Zn 3.16, 3 In 3.17, 3 Pm 3.53
Zn: 0.0000 0.0000 0.4070  3 In 2.75
In: 0.0000 0.0000 0.2607  3 Zn 2.75

Entry from the Alexandria database: a relaxed structure of Tl2InPt2 (PBE-GGA).

DOS(E_F)	5.4	states/eV/cell
total magnetic moment	0.000	μB per formula unit
raw total energy	-3.86	eV per atom
formation energy from the elements	51	meV/atom

a = 3.8618 Å, b = 3.8618 Å, c = 16.8270 Å
α = 90.00°, β = 90.00°, γ = 90.00°
Last column: nearest neighbours and their distance in Å.
Space group I4/mmm (No. 139)
One atom of each set of equivalent atoms:
Tl: 0.0000 0.0000 0.1236  4 Pt 2.87
In: 0.0000 0.0000 0.5000  8 Tl 3.43
Pt: 0.0000 0.5000 0.2500  4 Pt 2.73, 4 Tl 2.87

Entry from the Alexandria database: a relaxed structure of NaLiHPt2 (PBE-GGA).

DOS(E_F)	2.6	states/eV/cell
total magnetic moment	0.000	μB per formula unit
raw total energy	-4.02	eV per atom

a = 3.9543 Å, b = 3.9543 Å, c = 4.2932 Å
α = 90.00°, β = 90.00°, γ = 90.00°
Last column: nearest neighbours and their distance in Å.
Space group P4/mmm (No. 123)
One atom of each set of equivalent atoms:
Na: 0.0000 0.0000 0.0000  4 Li 2.80, 8 Pt 2.92
Li: 0.5000 0.5000 0.0000  2 H 2.15
H: 0.5000 0.5000 0.5000  4 Pt 1.98, 2 Li 2.15
Pt: 0.0000 0.5000 0.5000  2 H 1.98

Entry from the Alexandria database: a relaxed structure of Tm6SnC3 (PBE-GGA).

DOS(E_F)	10.3	states/eV/cell
total magnetic moment	0.000	μB per formula unit
raw total energy	-6.21	eV per atom
formation energy from the elements	-362	meV/atom

a = 6.4120 Å, b = 6.4120 Å, c = 17.5891 Å
α = 90.00°, β = 90.00°, γ = 120.00°
Last column: nearest neighbours and their distance in Å.
Space group R3 (No. 146, hexagonal axes)
One atom of each set of equivalent atoms:
Tm: 0.0010 0.3387 0.0000  3 C 2.43-2.52
Tm: 0.1276 0.7859 0.8284  3 C 2.41-2.58
Sn: 0.0000 0.0000 0.5088  3 Tm 2.94
C: 0.0000 0.0000 0.0725  6 Tm 2.41-2.52
C: 0.0000 0.0000 0.2656  6 Tm 2.43-2.58
C: 0.0000 0.0000 0.7377  6 Tm 2.47-2.49

Entry from the Alexandria database: a relaxed structure of YFeB (PBE-GGA).

DOS(E_F)	5.1	states/eV/cell
total magnetic moment	1.011	μB per formula unit
raw total energy	-7.58	eV per atom
formation energy from the elements	-375	meV/atom

a = 3.5333 Å, b = 3.5333 Å, c = 7.6927 Å
α = 90.00°, β = 90.00°, γ = 90.00°
Last column: nearest neighbours and their distance in Å.
Space group P4/nmm (No. 129, origin choice 2)
One atom of each set of equivalent atoms:
Y: 0.2500 0.2500 0.1951  4 B 2.83, 4 Fe 2.94
Fe: 0.2500 0.7500 0.5000  4 B 2.04
B: 0.2500 0.2500 0.6332  4 Fe 2.04